DFT (PBE-GGA) results for Ti12NbSi6 after structural relaxation.

a b c (Å): 7.3511 7.3511 7.3511
angles (deg): 107.79 107.79 107.79
Fractional positions:
Ti 0.0904 0.4165 0.1715
Ti 0.1651 0.4636 0.6060
Ti 0.1715 0.0904 0.4165
Ti 0.3940 0.8349 0.5364
Ti 0.4165 0.1715 0.0904
Ti 0.4636 0.6060 0.1651
Ti 0.5364 0.3940 0.8349
Ti 0.5835 0.8285 0.9096
Ti 0.6060 0.1651 0.4636
Ti 0.8285 0.9096 0.5835
Ti 0.8349 0.5364 0.3940
Ti 0.9096 0.5835 0.8285
Nb 0.5000 0.5000 0.5000
Si 0.1612 0.2567 0.8323
Si 0.1677 0.8388 0.7433
Si 0.2567 0.8323 0.1612
Si 0.7433 0.1677 0.8388
Si 0.8323 0.1612 0.2567
Si 0.8388 0.7433 0.1677

- mass density (g cm⁻³) = 4.29
- space group = No. 148
- total magnetic moment (μB/cell) = 0.0
- raw formation energy (eV per atom) = -0.196